This record from Alexandria describes an optimized crystal structure of TbSm3Th2As6. The functional is GGA-PBE.

Cell lengths 4.224, 8.425, 9.431 Å; angles 102.94, 102.94, 90.00 degrees
Element x y z (fractional)
Tb (0.500, 0.000, 0.000)
Sm (0.500, 0.500, 0.000)
Sm (0.834, 0.166, 0.668)
Sm (0.166, 0.834, 0.332)
Th (0.835, 0.670, 0.670)
Th (0.165, 0.330, 0.330)
As (0.335, 0.918, 0.669)
As (0.667, 0.584, 0.334)
As (0.665, 0.082, 0.331)
As (0.000, 0.247, 0.999)
As (0.000, 0.753, 0.001)
As (0.333, 0.416, 0.666)

Summary:
E = -6.631 eV/atom
Energy of formation = -1.50 eV per atom
Volume = 318.33 Å³/cell

This record from Alexandria describes an optimized crystal structure of Cs2BaIn2Br6. The functional is GGA-PBE.

Cell lengths 8.407, 10.364, 8.422 Å; angles 123.97, 90.00, 113.93 degrees
Element x y z (fractional)
Cs (0.773, 0.546, 0.258)
Cs (0.227, 0.454, 0.742)
Ba (0.500, 0.000, 0.500)
In (0.890, 0.780, 0.876)
In (0.110, 0.220, 0.124)
Br (0.688, 0.375, 0.561)
Br (0.140, 0.801, 0.143)
Br (0.339, 0.199, 0.857)
Br (0.860, 0.199, 0.857)
Br (0.661, 0.801, 0.143)
Br (0.312, 0.625, 0.439)

Summary:
E_form (uncorrected) = -1451.3 meV per atom
E = -3.192 eV/atom
Volume = 530.86 Å³/cell

This record from Alexandria describes an optimized crystal structure of Sm2PdI8. The functional is GGA-PBE.

Cell lengths 10.845, 9.049, 9.049 Å; angles 49.39, 73.60, 73.60 degrees
Element x y z (fractional)
Sm (0.681, 0.229, 0.229)
Sm (0.319, 0.771, 0.771)
Pd (0.000, 0.000, 0.000)
I (0.130, 0.142, 0.648)
I (0.130, 0.648, 0.142)
I (0.870, 0.858, 0.352)
I (0.283, 0.606, 0.606)
I (0.870, 0.352, 0.858)
I (0.410, 0.216, 0.216)
I (0.590, 0.784, 0.784)
I (0.717, 0.394, 0.394)

Summary:
E_form (uncorrected) = -944.0 meV per atom
E = -3.401 eV/atom
Volume = 640.82 Å³/cell

This record from Alexandria describes an optimized crystal structure of ZrIrPd. The functional is GGA-PBE.

Cell lengths 3.149, 4.870, 12.573 Å; angles 139.79, 90.00, 108.86 degrees
Element x y z (fractional)
Zr (0.841, 0.683, 0.741)
Zr (0.159, 0.317, 0.259)
Ir (0.286, 0.572, 0.110)
Ir (0.714, 0.428, 0.890)
Pd (0.049, 0.098, 0.418)
Pd (0.951, 0.902, 0.582)

Summary:
E = -7.991 eV/atom
Excess energy over the best structure of this formula in the dataset = 263.8 meV/atom
Energy of formation = -0.46 eV per atom
Volume = 107.78 Å³/cell

This record from Alexandria describes an optimized crystal structure of Ca3LaW. The functional is GGA-PBE.

Cell lengths 5.703, 5.703, 5.703 Å; angles 90.00, 90.00, 90.00 degrees
Each line ends with the local moment (μB).
Element x y z (fractional)
Ca (0.000, 0.500, 0.000)  0.07
Ca (0.000, 0.000, 0.500)  0.06
Ca (0.500, 0.000, 0.000)  0.05
W (0.000, 0.000, 0.000)  1.64
La (0.500, 0.500, 0.500)  -0.05

Summary:
E = -3.850 eV/atom
Excess energy over the best structure of this formula in the dataset = 0.0 meV/atom
Energy of formation = 0.93 eV per atom
Volume = 185.53 Å³/cell

This record from Alexandria describes an optimized crystal structure of CePr2ScSe4. The functional is GGA-PBE.

Cell lengths 4.118, 7.197, 7.252 Å; angles 108.90, 90.00, 90.00 degrees
Each line ends with the local moment (μB).
Element x y z (fractional)
Ce (0.500, 0.500, 0.000)  0.69
Pr (0.500, 0.000, 0.500)  0.00
Pr (0.000, 0.500, 0.500)  0.02
Sc (0.000, 0.000, 0.000)  0.04
Se (0.500, 0.231, 0.227)  0.00
Se (0.500, 0.769, 0.773)  0.00
Se (0.000, 0.243, 0.765)  -0.01
Se (0.000, 0.757, 0.235)  -0.01

Summary:
E_form (uncorrected) = -1753.5 meV per atom
E = -6.224 eV/atom
Volume = 203.34 Å³/cell